[1]
A relaxed LiPtBr crystal, computed with GGA-PBE.

Lattice parameters (Å, degrees): 5.5836 8.5942 4.7670 90.00 90.00 90.00
Atoms (fractional coordinates):
Br: 0.0000 0.5000 0.0000
Li: 0.4963 0.7500 0.2154
Pt: 0.2520 0.2500 0.2496
Br: 0.5000 0.0000 0.5000
Li: 0.5037 0.2500 0.7846
Pt: 0.7520 0.2500 0.2504
Li: 0.0037 0.2500 0.7154
Br: 0.5000 0.5000 0.5000
Li: 0.9963 0.7500 0.2846
Pt: 0.7480 0.7500 0.7504
Br: 0.0000 0.0000 0.0000
Pt: 0.2480 0.7500 0.7496

## Properties
symmetry = Pnma
offset from the most stable computed form = 395 meV per atom
crystal system = orthorhombic

[2]
A relaxed LiPtBr2 crystal, computed with GGA-PBE.

Lattice parameters (Å, degrees): 5.6008 5.4162 5.2333 57.85 95.44 124.25
Atoms (fractional coordinates):
Li: 0.0000 0.5000 0.5000
Br: 0.5000 0.0000 0.5000
Br: 0.0000 0.0000 0.0000
Pt: 0.5000 0.5000 0.0000

## Properties
symmetry = C2/m
offset from the most stable computed form = 51 meV per atom
crystal system = monoclinic

[3]
A relaxed LiPtBr crystal, computed with GGA-PBE.

Lattice parameters (Å, degrees): 8.9426 5.6141 5.6141 141.60 116.45 63.55
Atoms (fractional coordinates):
Br: 0.7078 0.0605 0.9395
Pt: 0.7877 0.6953 0.3047
Br: 0.2786 0.5046 0.4954
Li: 0.4988 0.9229 0.0771
Li: 0.0617 0.1261 0.8739
Pt: 0.7814 0.3654 0.6346

## Properties
symmetry = Cm
offset from the most stable computed form = 90 meV per atom
crystal system = monoclinic

[4]
A relaxed LiPtBr crystal, computed with GGA-PBE.

Lattice parameters (Å, degrees): 5.0781 5.0781 5.0781 140.44 140.38 57.24
Atoms (fractional coordinates):
Br: 0.9752 0.9752 0.0000
Pt: 0.6957 0.6957 0.0000
Li: 0.3291 0.3291 0.0000

## Properties
symmetry = I4mm
offset from the most stable computed form = 493 meV per atom
crystal system = tetragonal

[5]
A relaxed LiPtBr crystal, computed with GGA-PBE.

Lattice parameters (Å, degrees): 7.4579 3.7792 8.7522 90.00 90.00 90.00
Atoms (fractional coordinates):
Br: 0.7488 0.7500 0.0125
Li: 0.9993 0.2500 0.7540
Br: 0.2512 0.2500 0.9875
Li: 0.0007 0.7500 0.2460
Br: 0.7512 0.2500 0.5125
Pt: 0.7498 0.2500 0.2343
Br: 0.2488 0.7500 0.4875
Pt: 0.7502 0.7500 0.7343
Pt: 0.2502 0.7500 0.7657
Li: 0.4993 0.2500 0.7460
Li: 0.5007 0.7500 0.2540
Pt: 0.2498 0.2500 0.2657

## Properties
symmetry = Pnma
offset from the most stable computed form = 385 meV per atom
crystal system = orthorhombic

[6]
A relaxed LiPtBr2 crystal, computed with GGA-PBE.

Lattice parameters (Å, degrees): 4.8182 4.8182 3.3766 90.00 90.00 90.00
Atoms (fractional coordinates):
Br: 0.0000 0.0000 0.0000
Pt: 0.0000 0.5000 0.5000
Br: 0.5000 0.5000 0.0000
Li: 0.5000 0.0000 0.5000

## Properties
symmetry = P4/mmm
offset from the most stable computed form = 295 meV per atom
crystal system = tetragonal

[7]
A relaxed Li3PtBr crystal, computed with GGA-PBE.

Lattice parameters (Å, degrees): 4.8050 4.8050 4.8050 90.00 90.00 90.00
Atoms (fractional coordinates):
Li: 0.0000 0.5000 0.0000
Pt: 0.0000 0.0000 0.0000
Li: 0.0000 0.0000 0.5000
Br: 0.5000 0.5000 0.5000
Li: 0.5000 0.0000 0.0000

## Properties
symmetry = Pm-3m
offset from the most stable computed form = 0 meV per atom
crystal system = cubic

[8]
A relaxed LiPtBr2 crystal, computed with GGA-PBE.

Lattice parameters (Å, degrees): 5.4787 5.4787 5.4787 138.86 96.59 97.59
Atoms (fractional coordinates):
Br: 0.4871 0.4871 0.0000
Br: 0.0129 0.0129 0.0000
Pt: 0.2500 0.7500 0.5000
Li: 0.7500 0.2500 0.5000

## Properties
symmetry = Immm
offset from the most stable computed form = 148 meV per atom
crystal system = orthorhombic

[9]
A relaxed LiPtBr2 crystal, computed with GGA-PBE.

Lattice parameters (Å, degrees): 3.6291 3.6291 7.5950 90.00 90.00 89.97
Atoms (fractional coordinates):
Br: 0.0000 0.0000 0.8911
Li: 0.0000 0.0000 0.3853
Pt: 0.5000 0.5000 0.8350
Br: 0.5000 0.5000 0.3886

## Properties
symmetry = P4mm
offset from the most stable computed form = 70 meV per atom
crystal system = tetragonal

[10]
A relaxed LiPtBr crystal, computed with GGA-PBE.

Lattice parameters (Å, degrees): 12.4737 4.8214 4.8214 135.15 131.19 48.81
Atoms (fractional coordinates):
Pt: 0.0942 0.1155 0.8845
Li: 0.8282 0.2491 0.7509
Br: 0.2898 0.3424 0.6576
Li: 0.1718 0.7509 0.2491
Br: 0.7102 0.6576 0.3424
Pt: 0.9058 0.8845 0.1155

## Properties
symmetry = C2/m
offset from the most stable computed form = 8 meV per atom
crystal system = monoclinic

[11]
A relaxed LiPtBr2 crystal, computed with GGA-PBE.

Lattice parameters (Å, degrees): 3.8619 3.8619 5.5027 90.00 90.00 90.00
Atoms (fractional coordinates):
Br: 0.0000 0.0000 0.8749
Br: 0.5000 0.5000 0.3742
Li: 0.0000 0.0000 0.3765
Pt: 0.5000 0.5000 0.8743

## Properties
symmetry = P4mm
offset from the most stable computed form = 0 meV per atom
crystal system = tetragonal

[12]
A relaxed LiPtBr crystal, computed with GGA-PBE.

Lattice parameters (Å, degrees): 8.3724 5.4783 3.7667 69.93 89.62 110.30
Atoms (fractional coordinates):
Br: 0.9577 0.8180 0.8667
Pt: 0.8728 0.4410 0.5563
Pt: 0.8766 0.1030 0.2251
Li: 0.1775 0.4133 0.5672
Br: 0.3809 0.5039 0.0191
Li: 0.6185 0.9543 0.8039

## Properties
symmetry = P1
offset from the most stable computed form = 112 meV per atom
crystal system = triclinic

[13]
A relaxed LiPtBr crystal, computed with GGA-PBE.

Lattice parameters (Å, degrees): 4.2493 4.2493 9.7398 90.00 90.00 120.00
Atoms (fractional coordinates):
Br: 0.0000 0.0000 0.2500
Pt: 0.0000 0.0000 0.5000
Li: 0.3333 0.6667 0.2500
Li: 0.6667 0.3333 0.7500
Br: 0.0000 0.0000 0.7500
Pt: 0.0000 0.0000 0.0000

## Properties
symmetry = P6_3/mmc
offset from the most stable computed form = 633 meV per atom
crystal system = hexagonal

[14]
A relaxed LiPtBr2 crystal, computed with GGA-PBE.

Lattice parameters (Å, degrees): 5.5405 5.5405 7.8286 69.28 69.28 90.00
Atoms (fractional coordinates):
Br: 0.1214 0.6250 0.2500
Li: 0.5000 0.5000 0.0000
Pt: 0.0000 0.0000 0.0000
Br: 0.6286 0.1250 0.2500
Br: 0.3750 0.3714 0.7500
Br: 0.8750 0.8786 0.7500
Li: 0.2500 0.7500 0.5000
Pt: 0.7500 0.2500 0.5000

## Properties
symmetry = I-42d
offset from the most stable computed form = 131 meV per atom
crystal system = tetragonal

[15]
A relaxed LiPtBr2 crystal, computed with GGA-PBE.

Lattice parameters (Å, degrees): 4.8646 4.8646 4.8646 60.00 60.00 60.00
Atoms (fractional coordinates):
Br: 0.7500 0.7500 0.7500
Li: 0.0000 0.0000 0.0000
Pt: 0.5000 0.5000 0.5000
Br: 0.2500 0.2500 0.2500

## Properties
symmetry = Fm-3m
offset from the most stable computed form = 415 meV per atom
crystal system = cubic

[16]
A relaxed LiPtBr crystal, computed with GGA-PBE.

Lattice parameters (Å, degrees): 7.1301 3.6496 5.3295 90.00 94.29 90.00
Atoms (fractional coordinates):
Br: 0.7033 0.2500 0.3049
Br: 0.2967 0.7500 0.6951
Li: 0.8530 0.7500 0.6303
Pt: 0.0935 0.2500 0.8927
Li: 0.1470 0.2500 0.3697
Pt: 0.9065 0.7500 0.1073

## Properties
symmetry = P2_1/m
offset from the most stable computed form = 41 meV per atom
crystal system = monoclinic

[17]
A relaxed Li2PtBr6 crystal, computed with GGA-PBE.

Lattice parameters (Å, degrees): 6.7021 6.5504 11.1968 90.00 89.99 90.00
Atoms (fractional coordinates):
Br: 0.1664 0.2098 0.6594
Br: 0.6664 0.2902 0.1594
Br: 0.3327 0.7141 0.1572
Br: 0.8336 0.7902 0.3406
Br: 0.6984 0.2259 0.5006
Li: 0.5002 0.9990 0.6652
Br: 0.6673 0.2859 0.8428
Li: 0.0002 0.5010 0.1652
Br: 0.3336 0.7098 0.8406
Br: 0.3016 0.7741 0.4994
Pt: 0.5000 0.5000 0.0000
Br: 0.8016 0.7259 0.9994
Pt: 0.0000 0.0000 0.5000
Br: 0.1673 0.2141 0.3428
Li: 0.4998 0.0010 0.3348
Br: 0.8327 0.7859 0.6572
Li: 0.9998 0.4990 0.8348
Br: 0.1984 0.2741 0.0006

## Properties
symmetry = P2_1/c
crystal system = monoclinic
E = -0.11145 Ha/atom

[18]
A relaxed LiPtBr crystal, computed with GGA-PBE.

Lattice parameters (Å, degrees): 3.9699 3.9699 8.1419 90.00 90.00 90.00
Atoms (fractional coordinates):
Pt: 0.5000 0.0000 0.0248
Pt: 0.0000 0.5000 0.9752
Li: 0.5000 0.0000 0.7256
Br: 0.5000 0.5000 0.5000
Li: 0.0000 0.5000 0.2744
Br: 0.0000 0.0000 0.5000

## Properties
symmetry = P4/nmm
offset from the most stable computed form = 598 meV per atom
crystal system = tetragonal

[19]
A relaxed LiPtBr crystal, computed with GGA-PBE.

Lattice parameters (Å, degrees): 8.1105 4.0049 8.1134 90.00 90.00 90.00
Atoms (fractional coordinates):
Li: 0.5952 0.7500 0.8927
Li: 0.0952 0.7500 0.6073
Br: 0.1941 0.7500 0.2111
Li: 0.9048 0.2500 0.3927
Pt: 0.2748 0.7500 0.9203
Br: 0.3059 0.2500 0.7111
Li: 0.4048 0.2500 0.1073
Pt: 0.7748 0.7500 0.5797
Pt: 0.7252 0.2500 0.0797
Br: 0.6941 0.7500 0.2889
Br: 0.8059 0.2500 0.7889
Pt: 0.2252 0.2500 0.4203

## Properties
symmetry = Pnma
offset from the most stable computed form = 432 meV per atom
crystal system = orthorhombic

[20]
A relaxed LiPtBr crystal, computed with GGA-PBE.

Lattice parameters (Å, degrees): 3.7288 8.4400 8.4400 151.62 90.00 90.00
Atoms (fractional coordinates):
Li: 0.0000 0.8495 0.1505
Br: 0.0000 0.6723 0.3277
Li: 0.0000 0.0582 0.9418
Br: 0.5000 0.3418 0.6582
Pt: 0.5000 0.5645 0.4355
Pt: 0.0000 0.4557 0.5443

## Properties
symmetry = Amm2
offset from the most stable computed form = 23 meV per atom
crystal system = orthorhombic

Number 1: Fermi-level density of states 0.3096 states/eV per atom, M_tot 0.0 μB per cell. Number 2: Fermi-level density of states 0.7576 states/eV per atom, M_tot 0.0 μB per cell. Number 3: Fermi-level density of states 0.0967 states/eV per atom, M_tot 0.0 μB per cell. Number 4: Fermi-level density of states 0.3899 states/eV per atom, M_tot 0.0 μB per cell. Number 5: Fermi-level density of states 0.0086 states/eV per atom, M_tot 0.0 μB per cell. Number 6: Fermi-level density of states 0.6792 states/eV per atom, M_tot 0.0 μB per cell. Number 7: Fermi-level density of states 0.0000 states/eV per atom, M_tot 0.0 μB per cell. Number 8: Fermi-level density of states 0.4428 states/eV per atom, M_tot 0.6 μB per cell. Number 9: Fermi-level density of states 0.3842 states/eV per atom, M_tot 0.0 μB per cell. Number 10: Fermi-level density of states 0.0000 states/eV per atom, M_tot 0.0 μB per cell. Number 11: Fermi-level density of states 0.3021 states/eV per atom, M_tot 0.0 μB per cell. Number 12: Fermi-level density of states 0.0000 states/eV per atom, M_tot 0.0 μB per cell. Number 13: Fermi-level density of states 0.8447 states/eV per atom, M_tot 0.0 μB per cell. Number 14: Fermi-level density of states 0.4329 states/eV per atom, M_tot 2.0 μB per cell. Number 15: Fermi-level density of states 0.7710 states/eV per atom, M_tot 1.0 μB per cell. Number 16: Fermi-level density of states 0.0000 states/eV per atom, M_tot 0.0 μB per cell. Number 17: Fermi-level density of states 0.0000 states/eV per atom, M_tot 0.0 μB per cell. Number 18: Fermi-level density of states 0.5534 states/eV per atom, M_tot 0.0 μB per cell. Number 19: Fermi-level density of states 0.0051 states/eV per atom, M_tot 0.0 μB per cell. Number 20: Fermi-level density of states 0.0000 states/eV per atom, M_tot 0.0 μB per cell.